Zr2Se2Cl: optimized geometry, GGA-PBE.

The space group is P4/mbm (No. 127) and the conventional cell measures 7.695, 7.695 and 3.466 Å, with angles of 90.00, 90.00 and 90.00 degrees. The distinct sites, in fractional coordinates, are Zr at (0.142, 0.358, 0.000), Se at (0.144, 0.644, 0.500) and Cl at (0.000, 0.000, 0.000).

Its crystal system is tetragonal. The raw formation energy is -1207 meV/atom. Its calculated volume is 20.525 Å³/atom.